[1]
A geometry-optimized Hf6TiRh5 structure. Source: Alexandria, functional GGA-PBE.

The structure in POSCAR format:
```
Hf6TiRh5
1.0
-2.776 -3.677 -0.361
5.071 -3.604 -2.282
0.456 1.795 7.799
Hf Rh Ti
6 5 1
Direct
0.832 0.085 0.664
0.832 0.579 0.664
0.168 0.915 0.336
0.500 0.744 0.000
0.500 0.256 0.000
0.168 0.421 0.336
0.000 0.500 0.000
0.661 0.161 0.322
0.672 0.672 0.343
0.328 0.328 0.657
0.339 0.839 0.678
0.000 0.000 0.000
```

Results
Final energy (eV per atom): -9.42

=====

[2]
A geometry-optimized HfTi2Rh2 structure. Source: Alexandria, functional GGA-PBE.

The structure in POSCAR format:
```
HfTi2Rh2
1.0
-5.209 -0.590 -5.295
4.482 -4.489 -3.909
-1.165 -2.393 1.413
Hf Rh Ti
2 4 4
Direct
0.000 0.000 0.000
0.500 0.500 0.000
0.865 0.635 0.000
0.135 0.365 0.000
0.365 0.865 0.000
0.635 0.135 0.000
0.162 0.662 0.500
0.338 0.162 0.500
0.838 0.338 0.500
0.662 0.838 0.500
```

Results
Final energy (eV per atom): -8.64

=====

[3]
A geometry-optimized Hf2TiRh structure. Source: Alexandria, functional GGA-PBE.

The structure in POSCAR format:
```
Hf2TiRh
1.0
3.316 0.000 0.000
0.000 4.689 0.000
0.000 0.000 4.689
Ti Rh Hf
1 1 2
Direct
0.500 0.500 0.500
0.500 0.000 0.000
0.000 0.000 0.500
0.000 0.500 0.000
```

Results
Final energy (eV per atom): -9.18

=====

[4]
A geometry-optimized Hf2TiRh2 structure. Source: Alexandria, functional GGA-PBE.

The structure in POSCAR format:
```
Hf2TiRh2
1.0
7.770 0.000 0.000
0.000 7.770 0.000
0.000 0.000 3.022
Hf Rh Ti
4 4 2
Direct
0.849 0.651 0.000
0.651 0.151 0.000
0.349 0.849 0.000
0.151 0.349 0.000
0.352 0.148 0.500
0.852 0.352 0.500
0.648 0.852 0.500
0.148 0.648 0.500
0.000 0.000 0.000
0.500 0.500 0.000
```

Results
Final energy (eV per atom): -8.98

=====

[5]
A geometry-optimized Hf4TiRh5 structure. Source: Alexandria, functional GGA-PBE.

The structure in POSCAR format:
```
Hf4TiRh5
1.0
-1.021 -2.865 1.137
2.835 -1.343 -0.838
6.002 3.620 14.506
Rh Hf Ti
5 4 1
Direct
0.500 0.500 0.705
0.500 0.500 0.092
0.500 0.500 0.908
0.500 0.500 0.500
0.500 0.500 0.295
0.000 0.000 0.398
0.000 0.000 0.193
0.000 0.000 0.807
0.000 0.000 0.602
0.000 0.000 0.000
```

Results
Final energy (eV per atom): -9.29

=====

[6]
A geometry-optimized Hf4Ti2Rh structure. Source: Alexandria, functional GGA-PBE.

The structure in POSCAR format:
```
Hf4Ti2Rh
1.0
-3.700 1.428 3.003
-3.024 -3.316 -2.149
-1.517 -5.505 4.870
Hf Ti Rh
4 2 1
Direct
0.500 0.000 0.000
0.000 0.500 0.000
0.807 0.807 0.387
0.193 0.193 0.613
0.395 0.395 0.210
0.605 0.605 0.790
0.000 0.000 0.000
```

Results
Final energy (eV per atom): -8.34

=====

[7]
A geometry-optimized HfTi2Rh2 structure. Source: Alexandria, functional GGA-PBE.

The structure in POSCAR format:
```
HfTi2Rh2
1.0
-2.908 -0.495 0.536
0.721 -1.532 2.495
-0.071 7.181 6.251
Rh Ti Hf
2 2 1
Direct
0.500 0.599 0.802
0.500 0.401 0.198
0.000 0.187 0.626
0.000 0.813 0.374
0.000 0.000 0.000
```

Results
Final energy (eV per atom): -8.54

=====

[8]
A geometry-optimized Hf2Ti2Rh structure. Source: Alexandria, functional GGA-PBE.

The structure in POSCAR format:
```
Hf2Ti2Rh
1.0
6.442 0.000 0.000
0.000 6.442 0.000
0.000 0.000 4.580
Ti Hf Rh
4 4 2
Direct
0.353 0.853 0.000
0.647 0.147 0.000
0.147 0.353 0.000
0.853 0.647 0.000
0.660 0.840 0.500
0.340 0.160 0.500
0.840 0.340 0.500
0.160 0.660 0.500
0.000 0.000 0.000
0.500 0.500 0.000
```

Results
Final energy (eV per atom): -8.82

=====

[9]
A geometry-optimized Hf4TiRh3 structure. Source: Alexandria, functional GGA-PBE.

The structure in POSCAR format:
```
Hf4TiRh3
1.0
-1.124 3.111 -0.362
-1.258 -0.957 -4.319
-8.386 -2.676 3.037
Hf Rh Ti
4 3 1
Direct
0.000 0.500 0.257
0.000 0.000 0.500
0.000 0.000 0.000
0.000 0.500 0.743
0.500 0.000 0.743
0.500 0.500 0.500
0.500 0.000 0.257
0.500 0.500 0.000
```

Results
Final energy (eV per atom): -9.36

=====

[10]
A geometry-optimized HfTi3Rh2 structure. Source: Alexandria, functional GGA-PBE.

The structure in POSCAR format:
```
HfTi3Rh2
1.0
-0.364 -2.673 5.580
1.074 -5.540 -2.584
5.561 4.897 -0.733
Rh Ti Hf
4 6 2
Direct
0.840 0.143 0.286
0.446 0.643 0.286
0.554 0.357 0.714
0.160 0.857 0.714
0.233 0.483 0.466
0.500 0.750 0.000
0.767 0.017 0.534
0.500 0.250 0.000
0.767 0.517 0.534
0.233 0.983 0.466
0.000 0.000 0.000
0.000 0.500 0.000
```

Results
Final energy (eV per atom): -8.26

=====

[11]
A geometry-optimized HfTi5Rh4 structure. Source: Alexandria, functional GGA-PBE.

The structure in POSCAR format:
```
HfTi5Rh4
1.0
-0.317 0.709 -3.053
-2.692 -1.634 -0.100
-8.152 13.190 3.909
Rh Hf Ti
4 1 5
Direct
0.000 0.000 0.595
0.000 0.000 0.218
0.000 0.000 0.405
0.000 0.000 0.782
0.000 0.000 0.000
0.500 0.500 0.880
0.500 0.500 0.120
0.500 0.500 0.690
0.500 0.500 0.310
0.500 0.500 0.500
```

Results
Final energy (eV per atom): -8.50

=====

[12]
A geometry-optimized HfTiRh6 structure. Source: Alexandria, functional GGA-PBE.

The structure in POSCAR format:
```
HfTiRh6
1.0
8.327 -1.280 -3.692
-4.612 5.374 -1.903
-1.424 -0.228 7.177
Rh Ti Hf
12 2 2
Direct
0.002 0.871 0.125
0.492 0.749 0.242
0.998 0.129 0.875
0.498 0.878 0.624
0.498 0.629 0.874
0.508 0.251 0.758
0.502 0.371 0.126
0.998 0.378 0.624
0.007 0.751 0.758
0.002 0.622 0.376
0.993 0.249 0.242
0.502 0.122 0.376
0.500 0.000 0.000
0.000 0.500 0.000
0.000 0.000 0.500
0.500 0.500 0.500
```

Results
Final energy (eV per atom): -8.32